A plane-wave DFT calculation with PBE+U was carried out for a geometry-optimized Pm2ErVO6 structure.

The structure belongs to space group P2_1/c (No. 14); the cell edges are 5.6018, 5.8558 and 9.8510 Å and the angles 90.00°, 123.84° and 90.00°. The distinct sites, in fractional coordinates, are Pm at (0.2299, 0.0595, 0.2495), Er at (0.5000, 0.0000, 0.0000), V at (0.0000, 0.0000, 0.5000), O at (0.1180, 0.2073, 0.9344), O at (0.2304, 0.6896, 0.9372) and O at (0.3640, 0.0508, 0.7409).

For the total energy, the calculation gives -8.25 eV/atom.